DFT (PBE) results for Tl2TeCl after structural relaxation.

The structure in extended XYZ format:
```
4
Lattice="7.8298 0.0584 0.0000 5.3157 5.7491 0.0000 -6.5728 -2.9037 3.1107" Properties=species:S:1:pos:R:3 pbc="T T T"
Tl 2.6579 2.8746 1.5553
Tl 0.0000 0.0000 0.0000
Cl 6.5728 2.9037 0.0000
Te 3.9149 0.0292 1.5553
```

DOS at the Fermi energy	0.092	states/eV/atom
E above lowest polymorph	0.37	eV/f.u.

---

DFT (PBE) results for Tl2Te2Cl7 after structural relaxation.

The structure in extended XYZ format:
```
11
Lattice="8.0235 0.0530 0.0606 -0.5365 6.9403 -0.2867 -0.5365 -1.2074 6.8405" Properties=species:S:1:pos:R:3 pbc="T T T"
Te 3.2827 3.9199 4.4812
Te 3.6678 1.8661 2.1333
Cl 0.7273 3.7496 4.2865
Cl 5.0895 2.7298 5.9073
Cl 1.8610 0.2944 3.1231
Cl 1.8610 3.0562 0.7072
Cl 5.0895 5.4916 3.4914
Cl 4.0118 0.0265 0.0303
Cl 6.2232 2.0364 2.3280
Tl -0.5365 4.8838 1.5122
Tl -0.5365 0.8491 5.0416
```

total energy	-2.745	eV per atom
DOS at the Fermi energy	0.392	states/eV/atom

---

DFT (PBE) results for Tl2TeCl after structural relaxation.

The structure in extended XYZ format:
```
4
Lattice="-3.5603 3.6927 5.8325 -6.8704 1.9986 3.0221 -4.7565 -0.8049 6.0875" Properties=species:S:1:pos:R:3 pbc="T T T"
Tl -0.0222 0.0071 0.0218
Tl -7.5715 2.4360 7.4492
Te -11.3905 3.6648 11.2065
Cl -3.7968 1.2216 3.7355
```

DOS at the Fermi energy	0.914	states/eV/atom
E above lowest polymorph	0.30	eV/f.u.

---

DFT (PBE) results for Tl2TeCl after structural relaxation.

The structure in extended XYZ format:
```
4
Lattice="7.4238 0.0247 0.0057 4.4165 5.9672 -0.0057 -5.2721 -4.2765 3.0049" Properties=species:S:1:pos:R:3 pbc="T T T"
Tl 0.1469 0.0744 0.0000
Tl 3.6514 -0.8225 1.5053
Te 2.4184 2.2857 1.4996
Cl 6.2715 3.1738 0.0000
```

DOS at the Fermi energy	0.186	states/eV/atom
E above lowest polymorph	0.39	eV/f.u.

---

DFT (PBE) results for Tl2Te2Cl after structural relaxation.

The structure in extended XYZ format:
```
5
Lattice="4.3900 0.0000 0.0000 0.0000 4.3900 0.0000 2.1950 2.1950 9.0103" Properties=species:S:1:pos:R:3 pbc="T T T"
Tl 2.1950 2.1950 1.6943
Tl 4.3900 4.3900 7.3160
Te 2.1950 4.3900 4.5052
Te 4.3900 2.1950 4.5052
Cl 0.0000 0.0000 0.0000
```

DOS at the Fermi energy	0.223	states/eV/atom
E above lowest polymorph	0.00	eV/f.u.

---

DFT (PBE) results for Tl3TeCl after structural relaxation.

The structure in extended XYZ format:
```
5
Lattice="5.8535 0.0000 0.0000 0.0000 5.8535 0.0000 0.0000 0.0000 5.8535" Properties=species:S:1:pos:R:3 pbc="T T T"
Tl 0.0000 0.0000 2.9267
Tl 0.0000 2.9267 0.0000
Tl 2.9267 0.0000 0.0000
Cl 0.0000 0.0000 0.0000
Te 2.9267 2.9267 2.9267
```

DOS at the Fermi energy	0.000	states/eV/atom
E above lowest polymorph	1.16	eV/f.u.

---

DFT (PBE) results for Tl3TeCl after structural relaxation.

The structure in extended XYZ format:
```
5
Lattice="6.5422 0.0000 0.0000 0.0000 6.5422 0.0000 0.0000 0.0000 6.5422" Properties=species:S:1:pos:R:3 pbc="T T T"
Tl 0.0000 3.2711 0.0000
Tl 0.0000 0.0000 3.2711
Tl 3.2711 0.0000 0.0000
Cl 3.2711 3.2711 3.2711
Te 0.0000 0.0000 0.0000
```

DOS at the Fermi energy	0.000	states/eV/atom
E above lowest polymorph	1.91	eV/f.u.

---

DFT (PBE) results for Tl3TeCl after structural relaxation.

The structure in extended XYZ format:
```
10
Lattice="4.5181 0.0000 0.0000 -2.2590 6.4906 0.0000 -0.0001 0.0000 12.4439" Properties=species:S:1:pos:R:3 pbc="T T T"
Tl -0.0001 4.3285 11.5527
Tl 2.2590 5.6843 3.1110
Tl 0.0000 4.3285 7.1132
Tl 2.2591 2.1621 0.8912
Tl 0.0000 0.8063 9.3330
Tl 2.2590 2.1621 5.3308
Te 0.0000 3.2572 3.1110
Te 2.2590 3.2334 9.3329
Cl 0.0000 0.0000 0.0000
Cl 0.0000 0.0000 6.2220
```

E above lowest polymorph	0.14	eV/f.u.

---

DFT (PBE) results for Tl2TeCl after structural relaxation.

The structure in extended XYZ format:
```
4
Lattice="-2.2037 -1.1840 3.8035 0.6722 -4.1121 1.8339 5.3644 1.1127 6.1789" Properties=species:S:1:pos:R:3 pbc="T T T"
Te 4.2090 -2.4839 9.8387
Tl 3.9840 0.4364 5.1686
Tl 1.0263 -1.0125 3.0039
Cl 1.8944 -2.1025 5.8920
```

DOS at the Fermi energy	0.900	states/eV/atom
E above lowest polymorph	0.39	eV/f.u.

---

DFT (PBE) results for TlTeCl3 after structural relaxation.

The structure in extended XYZ format:
```
5
Lattice="-2.6407 -4.6127 -1.5658 2.3527 0.3519 -5.0043 4.2655 -3.0497 1.7908" Properties=species:S:1:pos:R:3 pbc="T T T"
Cl -1.3203 -2.3064 -0.7829
Cl 2.1327 -1.5249 0.8954
Cl 1.1763 0.1760 -2.5022
Tl 1.9887 -3.6553 -2.3897
Te 0.0000 0.0000 0.0000
```

DOS at the Fermi energy	0.233	states/eV/atom
E above lowest polymorph	0.60	eV/f.u.

---

DFT (PBE) results for Tl2TeCl after structural relaxation.

The structure in extended XYZ format:
```
4
Lattice="4.7996 0.0000 0.0000 0.0000 6.6422 0.0000 0.0000 0.0000 4.1095" Properties=species:S:1:pos:R:3 pbc="T T T"
Tl 0.0000 0.0000 0.0000
Tl 2.3998 3.3211 0.0000
Cl 2.3998 0.0000 2.0547
Te 0.0000 3.3211 2.0547
```

DOS at the Fermi energy	0.280	states/eV/atom
E above lowest polymorph	0.37	eV/f.u.

---

DFT (PBE) results for Tl3TeCl8 after structural relaxation.

The structure in extended XYZ format:
```
24
Lattice="9.4121 0.0000 0.0000 0.0000 8.3716 -4.8333 0.0000 0.0000 9.6667" Properties=species:S:1:pos:R:3 pbc="T T T"
Cl 0.1233 3.7888 6.5624
Cl 6.2140 2.7905 4.8333
Cl 4.8293 4.5828 1.7290
Cl 4.7765 0.0000 0.0000
Cl 0.1233 0.7940 4.8333
Cl 0.0705 0.0000 0.0000
Cl 1.5080 5.5811 0.0000
Cl 2.8964 1.6030 2.7766
Cl 7.6024 6.7685 2.0568
Cl 2.8964 1.6030 6.8901
Cl 4.8293 4.5828 -1.7290
Cl 7.6024 6.7685 -2.0568
Cl 2.8964 5.1655 4.8333
Cl 7.6024 3.2061 0.0000
Cl 4.8293 7.5776 0.0000
Cl 0.1233 3.7888 3.1043
Te 6.2593 5.5811 0.0000
Te 1.5533 2.7905 4.8333
Tl 6.2051 1.3240 2.2933
Tl 6.2051 5.7236 4.8333
Tl 1.4990 7.0476 2.5401
Tl 6.2051 1.3240 7.3734
Tl 1.4990 2.6480 0.0000
Tl 1.4990 7.0476 -2.5401
```

total energy	-2.812	eV per atom
DOS at the Fermi energy	0.899	states/eV/atom

---

| no. | density (g cm⁻³) | total magnetization (μB per formula unit) |
| --- | --- | --- |
| 1 | 6.83 | 0.00 |
| 2 | 4.00 | 0.02 |
| 3 | 6.93 | 0.00 |
| 4 | 7.16 | 0.00 |
| 5 | 6.69 | 0.00 |
| 6 | 6.43 | 0.00 |
| 7 | 4.60 | 0.00 |
| 8 | 7.06 | 0.00 |
| 9 | 6.76 | 0.00 |
| 10 | 4.28 | 0.00 |
| 11 | 7.25 | 0.00 |
| 12 | 4.47 | 0.92 |